# 1
VASP calculation (PBE) on an optimized crystal structure of K2Na3Hg.

```
data_K2Na3Hg
_chemical_formula_sum 'K4 Na6 Hg2'
_cell_length_a 12.043
_cell_length_b 7.104
_cell_length_c 6.911
_cell_angle_alpha 90.00
_cell_angle_beta 124.29
_cell_angle_gamma 90.00
_space_group_name_H-M_alt 'C 1 2/m 1'
_space_group_IT_number 12
loop_
_space_group_symop_operation_xyz
'x,y,z'
'-x,-y,-z'
'-x,y,-z'
'x,-y,z'
'x+1/2,y+1/2,z'
'-x+1/2,-y+1/2,-z'
'-x+1/2,y+1/2,-z'
'x+1/2,-y+1/2,z'
loop_
_atom_site_label
_atom_site_fract_x
_atom_site_fract_y
_atom_site_fract_z
_atom_site_occupancy
K1 0.128 0.000 0.372 1
Na1 0.000 0.500 0.500 1
Na2 0.250 0.250 0.000 1
Hg1 0.000 0.500 0.000 1
```

The energy above the lowest structure with this stoichiometry comes out at 0.0 meV/atom.

---

# 2
VASP calculation (PBE) on an optimized crystal structure of InSeN2F.

```
data_InSeN2F
_chemical_formula_sum 'In1 Se1 N2 F1'
_cell_length_a 4.203
_cell_length_b 4.203
_cell_length_c 6.067
_cell_angle_alpha 90.00
_cell_angle_beta 90.00
_cell_angle_gamma 90.00
_space_group_name_H-M_alt 'P 4/m m m'
_space_group_IT_number 123
_space_group_name_Hall '-P 4 2'
loop_
_atom_site_label
_atom_site_fract_x
_atom_site_fract_y
_atom_site_fract_z
_atom_site_occupancy
In1 0.000 0.000 0.000 1
Se1 0.000 0.000 0.500 1
N1 0.000 0.500 0.000 1
F1 0.500 0.500 0.500 1
```

The energy above the lowest structure with this stoichiometry comes out at 693.7 meV/atom. The formation energy without anion corrections is 1.4427 eV/atom.

---

# 3
VASP calculation (PBE) on an optimized crystal structure of BIOF2.

```
data_BIOF2
_chemical_formula_sum 'B1 I1 O1 F2'
_cell_length_a 3.400
_cell_length_b 3.400
_cell_length_c 6.183
_cell_angle_alpha 90.00
_cell_angle_beta 90.00
_cell_angle_gamma 90.00
_space_group_name_H-M_alt 'P 4/m m m'
_space_group_IT_number 123
_space_group_name_Hall '-P 4 2'
loop_
_atom_site_label
_atom_site_fract_x
_atom_site_fract_y
_atom_site_fract_z
_atom_site_occupancy
B1 0.000 0.000 0.000 1
I1 0.500 0.500 0.500 1
O1 0.000 0.000 0.500 1
F1 0.000 0.500 0.000 1
```

The energy above the lowest structure with this stoichiometry comes out at 0.0 meV/atom. The formation energy without anion corrections is -0.3011 eV/atom.

---

# 4
VASP calculation (PBE) on an optimized crystal structure of ZrAgSe2.

```
data_ZrAgSe2
_chemical_formula_sum 'Zr4 Ag4 Se8'
_cell_length_a 6.873
_cell_length_b 6.873
_cell_length_c 6.873
_cell_angle_alpha 90.00
_cell_angle_beta 90.00
_cell_angle_gamma 90.00
_space_group_name_H-M_alt 'F -4 3 m'
_space_group_IT_number 216
_space_group_name_Hall 'F -4 2 3'
loop_
_atom_site_label
_atom_site_fract_x
_atom_site_fract_y
_atom_site_fract_z
_atom_site_occupancy
Zr1 0.000 0.000 0.000 1
Ag1 0.250 0.250 0.750 1
Se1 0.000 0.000 0.500 1
Se2 0.250 0.250 0.250 1
```

The formation energy without anion corrections is -0.0860 eV/atom.